First-principles (PBE with a Hubbard U) data for crystalline K2AcNiO4 at its relaxed geometry, as listed in Alexandria via LeMat-Bulk.

a b c (Å): 5.575 5.575 5.575
angles (deg): 102.70 112.96 112.96
Sites, in units of the cell vectors:
K: 0.000 0.000 0.000
K: 0.500 0.750 0.250
O: 0.420 0.770 0.717
O: 0.946 0.650 0.230
O: 0.054 0.283 0.704
O: 0.580 0.296 0.350
Ni: 0.000 0.500 0.500
Ac: 0.500 0.250 0.750

Summary:
- symmetry = I-4 (82)
- calculated total energy (eV per atom) = -5.232